Hf5In2Hg: relaxed, GGA-PBE.

Total moment in μB/f.u.: 0.00
DFT formation energy in meV per atom: 347
Excess energy over the best structure of this formula in the dataset in meV/atom: 437
Symmetry: Cmcm, No. 63

Cell and atoms, written as CIF:
```
data_Hf5In2Hg
_cell_length_a 4.7980
_cell_length_b 7.4312
_cell_length_c 12.2514
_cell_angle_alpha 90.00
_cell_angle_beta 90.00
_cell_angle_gamma 108.83
_space_group_name_H-M_alt 'P 1'
_space_group_IT_number 1
loop_
_space_group_symop_operation_xyz
'x,y,z'
loop_
_atom_site_label
_atom_site_type_symbol
_atom_site_fract_x
_atom_site_fract_y
_atom_site_fract_z
In1 In 0.0970 0.1941 0.8754
In2 In 0.9030 0.8059 0.3754
In3 In 0.0970 0.1941 0.6246
In4 In 0.9030 0.8059 0.1246
Hf1 Hf 0.1147 0.2295 0.3777
Hf2 Hf 0.7020 0.4041 0.2500
Hf3 Hf 0.8853 0.7705 0.6223
Hf4 Hf 0.1147 0.2295 0.1223
Hf5 Hf 0.3107 0.6214 0.0080
Hf6 Hf 0.3107 0.6214 0.4920
Hf7 Hf 0.8853 0.7705 0.8777
Hf8 Hf 0.6893 0.3786 0.9920
Hf9 Hf 0.6893 0.3786 0.5080
Hf10 Hf 0.2980 0.5959 0.7500
Hg1 Hg 0.6734 0.3468 0.7500
Hg2 Hg 0.3266 0.6532 0.2500
```